No. 1
# GGA-PBE LiMoAs2Br, relaxed
data_LiMoAs2Br
_cell_length_a 4.8069
_cell_length_b 4.8069
_cell_length_c 5.7371
_cell_angle_alpha 90.00
_cell_angle_beta 90.00
_cell_angle_gamma 90.00
_space_group_name_H-M_alt 'P 4/m m m'
_space_group_IT_number 123
_space_group_name_Hall '-P 4 2'
loop_
_atom_site_label
_atom_site_fract_x
_atom_site_fract_y
_atom_site_fract_z
Li1 0.0000 0.0000 0.0000
Mo1 0.5000 0.5000 0.5000
As1 0.0000 0.5000 0.5000
Br1 0.5000 0.5000 0.0000
# * total DFT energy (no corrections): -23.57 eV for the cell shown
# * magnetization: 0.4 Bohr magnetons per cell
# * energy relative to the lowest polymorph listed for this composition: 0 meV/atom
# * formation energy from raw total energies: 0.029 eV per atom

No. 2
# GGA-PBE Be2RuBr, relaxed
data_Be2RuBr
_cell_length_a 3.1038
_cell_length_b 3.0816
_cell_length_c 5.9155
_cell_angle_alpha 90.00
_cell_angle_beta 103.88
_cell_angle_gamma 90.00
_space_group_name_H-M_alt 'P 1 2/m 1'
_space_group_IT_number 10
_space_group_name_Hall '-P 2y'
loop_
_atom_site_label
_atom_site_fract_x
_atom_site_fract_y
_atom_site_fract_z
Be1 0.0902 0.0000 0.1775
Ru1 0.5000 0.5000 0.0000
Br1 0.5000 0.5000 0.5000
# * total DFT energy (no corrections): -17.94 eV for the cell shown
# * magnetization: 0.0 Bohr magnetons per cell
# * energy relative to the lowest polymorph listed for this composition: 0 meV/atom
# * formation energy from raw total energies: 0.116 eV per atom

No. 3
# GGA-PBE KLaPH2, relaxed
data_KLaPH2
_cell_length_a 4.4028
_cell_length_b 4.4028
_cell_length_c 7.2075
_cell_angle_alpha 90.00
_cell_angle_beta 90.00
_cell_angle_gamma 90.00
_space_group_name_H-M_alt 'P 4/m m m'
_space_group_IT_number 123
_space_group_name_Hall '-P 4 2'
loop_
_atom_site_label
_atom_site_fract_x
_atom_site_fract_y
_atom_site_fract_z
K1 0.0000 0.0000 0.0000
La1 0.0000 0.0000 0.5000
P1 0.5000 0.5000 0.0000
H1 0.0000 0.5000 0.5000
# * total DFT energy (no corrections): -16.67 eV for the cell shown
# * magnetization: 1.0 Bohr magnetons per cell

No. 4
# GGA-PBE MoOs3Au, relaxed
data_MoOs3Au
_cell_length_a 4.6885
_cell_length_b 4.6885
_cell_length_c 4.6885
_cell_angle_alpha 90.00
_cell_angle_beta 90.00
_cell_angle_gamma 90.00
_space_group_name_H-M_alt 'P m -3 m'
_space_group_IT_number 221
_space_group_name_Hall '-P 4 2 3'
loop_
_atom_site_label
_atom_site_fract_x
_atom_site_fract_y
_atom_site_fract_z
Mo1 0.0000 0.0000 0.0000
Os1 0.0000 0.0000 0.5000
Au1 0.5000 0.5000 0.5000
# * ΔH_f (0 K): 2.277 eV per atom
# * total DFT energy (no corrections): -36.41 eV for the cell shown
# * magnetization: 2.1 Bohr magnetons per cell
# * energy relative to the lowest polymorph listed for this composition: 0 meV/atom

No. 5
# GGA-PBE BeVCu2, relaxed
data_BeVCu2
_cell_length_a 2.5643
_cell_length_b 2.5643
_cell_length_c 6.8114
_cell_angle_alpha 90.00
_cell_angle_beta 90.00
_cell_angle_gamma 90.00
_space_group_name_H-M_alt 'P 4/m m m'
_space_group_IT_number 123
_space_group_name_Hall '-P 4 2'
loop_
_atom_site_label
_atom_site_fract_x
_atom_site_fract_y
_atom_site_fract_z
Be1 0.0000 0.0000 0.0000
V1 0.0000 0.0000 0.5000
Cu1 0.5000 0.5000 0.2119
# * ΔH_f (0 K): 0.002 eV per atom
# * total DFT energy (no corrections): -21.03 eV for the cell shown
# * magnetization: 0.0 Bohr magnetons per cell

No. 6
# GGA-PBE Ac2NbPbO6, relaxed
data_Ac2NbPbO6
_cell_length_a 5.7425
_cell_length_b 5.7425
_cell_length_c 5.7306
_cell_angle_alpha 90.00
_cell_angle_beta 90.00
_cell_angle_gamma 90.00
_space_group_name_H-M_alt 'P 4 m m'
_space_group_IT_number 99
_space_group_name_Hall 'P 4 -2'
loop_
_atom_site_label
_atom_site_fract_x
_atom_site_fract_y
_atom_site_fract_z
Ac1 0.0000 0.5000 0.0000
Nb1 0.0000 0.0000 0.6177
Pb1 0.5000 0.5000 0.5062
O1 0.0000 0.0000 0.2853
O2 0.2243 0.2243 0.7561
O3 0.5000 0.5000 0.1067
# * total DFT energy (no corrections): -76.58 eV for the cell shown
# * magnetization: 0.0 Bohr magnetons per cell
# * formation energy from raw total energies: -2.483 eV per atom